[1]
A plane-wave DFT calculation with GGA-PBE was carried out for an optimized crystal structure of CeY2Er2Mg5.

a = 10.5928 Å, b = 10.5928 Å, c = 5.1225 Å
α = 90.00°, β = 90.00°, γ = 90.00°
With the nearest neighbours (Å) after each atom.
Space group P4/mbm (No. 127)
Symmetry-distinct sites (fractional):
Ce  0.0000  0.0000  0.0000  8 Mg 3.40
Y  0.1783  0.3217  0.0000  3 Er 3.05-3.20
Er  0.1178  0.6178  0.0000  3 Y 3.05-3.20, 6 Mg 3.11-3.25
Mg  0.0000  0.5000  0.5000  4 Er 3.11, 4 Mg 3.28
Mg  0.0733  0.8013  0.5000  4 Mg 3.17-3.42, 2 Er 3.25, 2 Ce 3.40

Calculated values
As for the magnetization: 1.80 μB per cell. The formation energy comes out at 0.13 eV per atom. Its density of states at the Fermi level is 15.41 states/eV/f.u.



[2]
A plane-wave DFT calculation with GGA-PBE was carried out for an optimized crystal structure of Pm6NdTh.

a = 5.1492 Å, b = 5.1492 Å, c = 10.3020 Å
α = 90.00°, β = 90.00°, γ = 90.00°
With the nearest neighbours (Å) after each atom.
Space group P4/mmm (No. 123)
Symmetry-distinct sites (fractional):
Pm  0.0000  0.0000  0.0000  8 Pm 3.61, 4 Th 3.64
Pm  0.0000  0.0000  0.5000  4 Nd 3.64, 8 Pm 3.68
Pm  0.0000  0.5000  0.2452  2 Th 3.61, 8 Pm 3.61-3.68, 2 Nd 3.68
Nd  0.5000  0.5000  0.5000  12 Pm 3.64-3.68
Th  0.5000  0.5000  0.0000  12 Pm 3.61-3.64

Calculated values
As for the magnetization: 0.00 μB per cell. The formation energy comes out at 0.03 eV per atom. As for the energy above the most stable polymorph in this dataset: 0.000 eV per atom. Its density of states at the Fermi level is 10.86 states/eV/f.u.



[3]
A plane-wave DFT calculation with GGA-PBE was carried out for an optimized crystal structure of TaHgTe2.

a = 3.2939 Å, b = 5.1315 Å, c = 13.8801 Å
α = 90.00°, β = 90.00°, γ = 90.00°
With the nearest neighbours (Å) after each atom.
Space group Immm (No. 71)
Symmetry-distinct sites (fractional):
Ta  0.0000  0.0000  0.0000  4 Te 2.78, 4 Hg 3.05
Hg  0.0000  0.0000  0.5000  4 Ta 3.05, 2 Hg 3.29, 4 Te 3.41
Te  0.0000  0.5000  0.3385  2 Ta 2.78

Calculated values
As for the magnetization: 0.00 μB per cell. The total energy is -0.167 Ha/atom. Its density of states at the Fermi level is 3.77 states/eV/f.u.



[4]
A plane-wave DFT calculation with GGA-PBE was carried out for an optimized crystal structure of LaNd6Tm12.

a = 14.7980 Å, b = 14.7980 Å, c = 10.5921 Å
α = 90.00°, β = 90.00°, γ = 120.00°
With the nearest neighbours (Å) after each atom.
Space group R-3m (No. 166, hexagonal axes)
Symmetry-distinct sites (fractional):
La  0.0000  0.0000  0.0000  6 Tm 3.44
Nd  0.0678  0.5339  0.2220  8 Tm 3.33-3.53, 2 Nd 3.60
Tm  0.0000  0.3886  0.5000  3 Tm 3.30-3.42, 4 Nd 3.33-3.48
Tm  0.0786  0.1572  0.2627  4 Nd 3.40-3.53, 4 Tm 3.42-3.49, 1 La 3.44

Calculated values
As for the magnetization: 0.01 μB per cell. The formation energy comes out at 0.45 eV per atom. Its density of states at the Fermi level is 31.37 states/eV/f.u.



[5]
A plane-wave DFT calculation with GGA-PBE was carried out for an optimized crystal structure of La2Tl4Cu.

a = 5.0289 Å, b = 5.0289 Å, c = 16.7745 Å
α = 90.00°, β = 90.00°, γ = 90.00°
With the nearest neighbours (Å) after each atom.
Space group I4/mmm (No. 139)
Symmetry-distinct sites (fractional):
La  0.0000  0.0000  0.1468  9 Tl 3.19-3.57
Tl  0.0000  0.0000  0.3370  1 Cu 2.73
Tl  0.0000  0.5000  0.0000  2 Cu 2.51
Cu  0.0000  0.0000  0.5000  6 Tl 2.51-2.73

Calculated values
As for the magnetization: 0.00 μB per cell. The formation energy comes out at -0.09 eV per atom. Its density of states at the Fermi level is 5.50 states/eV/f.u.



[6]
A plane-wave DFT calculation with GGA-PBE was carried out for an optimized crystal structure of RbMgTc2.

a = 8.2946 Å, b = 8.2946 Å, c = 5.1035 Å
α = 90.00°, β = 90.00°, γ = 90.00°
With the nearest neighbours (Å) after each atom.
Space group I-42d (No. 122)
Symmetry-distinct sites (fractional):
Rb  0.0000  0.0000  0.0000  2 Mg 2.55
Mg  0.0000  0.0000  0.5000  2 Rb 2.55, 4 Tc 2.79
Tc  0.2110  0.2500  0.6250  2 Tc 2.63, 2 Mg 2.79

Calculated values
As for the magnetization: 4.12 μB per cell. The formation energy comes out at 1.76 eV per atom. Its density of states at the Fermi level is 3.90 states/eV/f.u.